# 1
First-principles (PBE) data for Ca3Mg after structural relaxation, as listed in Alexandria via LeMat-Bulk.

Unit cell a=7.3449 b=7.3697 c=5.3707 alpha=90.00 beta=90.00 gamma=90.00
Last column: nearest neighbours and their distance in Å.
Space group Pbam (No. 55)
Asymmetric unit:
Ca 0.0000 0.0000 0.0000 (multiplicity 2)  4 Mg 3.67-3.68, 8 Ca 3.75
Ca 0.2279 0.2720 0.5000 (multiplicity 4)  4 Mg 3.58-3.90, 8 Ca 3.69-3.75
Mg 0.0000 0.5000 0.0000 (multiplicity 2)  12 Ca 3.58-3.90

Values from the calculation:
VASP energy = -1.9101 eV per atom


# 2
First-principles (PBE) data for Li3AuO after structural relaxation, as listed in Alexandria via LeMat-Bulk.

Unit cell a=10.1247 b=3.7362 c=8.0873 alpha=90.00 beta=118.09 gamma=90.00
Last column: nearest neighbours and their distance in Å.
Space group C2/m (No. 12)
Asymmetric unit:
Li 0.0787 0.0000 0.1862 (multiplicity 4)  1 O 1.85
Li 0.0943 0.0000 0.6562 (multiplicity 4)  2 O 1.89-1.91
Li 0.1670 0.5000 0.4448 (multiplicity 4)  3 O 1.93-1.95
Au 0.1424 0.5000 0.9998 (multiplicity 4)  5 Li 2.66-2.80, 3 Au 2.87-2.88
O 0.1152 0.0000 0.4331 (multiplicity 4)  6 Li 1.85-1.95

Values from the calculation:
Polymorph energy (0 for the lowest one) = 0.0 meV per atom
E_form (uncorrected) = -1.220 eV/atom
VASP energy = -4.0153 eV per atom


# 3
First-principles (PBE) data for U2AlAu3 after structural relaxation, as listed in Alexandria via LeMat-Bulk.

Unit cell a=5.9673 b=5.9673 c=11.9194 alpha=90.00 beta=90.00 gamma=120.00
Last column: nearest neighbours and their distance in Å.
Space group R-3m (No. 166, hexagonal axes)
Asymmetric unit:
U 0.0000 0.0000 0.1085 (multiplicity 6)  1 U 2.59
Al 0.0000 0.0000 0.5000 (multiplicity 3)  6 Au 2.63
Au 0.0000 0.5000 0.0000 (multiplicity 9)  2 Al 2.63

Values from the calculation:
VASP energy = -6.2086 eV per atom


# 4
First-principles (PBE) data for ScMn2Hg after structural relaxation, as listed in Alexandria via LeMat-Bulk.

Unit cell a=3.0692 b=3.0692 c=27.4692 alpha=90.00 beta=90.00 gamma=120.00
Last column: nearest neighbours and their distance in Å.
Space group R-3m (No. 166, hexagonal axes)
Asymmetric unit:
Sc 0.0000 0.0000 0.0000 (multiplicity 3)  6 Mn 2.87, 6 Sc 3.07
Mn 0.0000 0.0000 0.2511 (multiplicity 6)  3 Sc 2.87, 3 Hg 2.92, 6 Mn 3.07
Hg 0.0000 0.0000 0.5000 (multiplicity 3)  6 Mn 2.92, 6 Hg 3.07

Values from the calculation:
VASP energy = -5.9161 eV per atom


# 5
First-principles (PBE) data for ZrGe3B after structural relaxation, as listed in Alexandria via LeMat-Bulk.

Unit cell a=5.1826 b=5.1826 c=5.1826 alpha=90.00 beta=90.00 gamma=90.00
Last column: nearest neighbours and their distance in Å.
Space group Pm-3m (No. 221)
Asymmetric unit:
Zr 0.0000 0.0000 0.0000 (multiplicity 1)  6 Ge 2.59
Ge 0.0000 0.0000 0.5000 (multiplicity 3)  2 Zr 2.59
B 0.5000 0.5000 0.5000 (multiplicity 1)  12 Ge 3.66

Values from the calculation:
Polymorph energy (0 for the lowest one) = 826.0 meV per atom
VASP energy = -4.4488 eV per atom


# 6
First-principles (PBE) data for Ba2SrSb after structural relaxation, as listed in Alexandria via LeMat-Bulk.

Unit cell a=4.8961 b=4.8961 c=34.6221 alpha=90.00 beta=90.00 gamma=120.00
Last column: nearest neighbours and their distance in Å.
Space group R-3m (No. 166, hexagonal axes)
Asymmetric unit:
Ba 0.0000 0.0000 0.2217 (multiplicity 6)  3 Sb 3.41
Sr 0.0000 0.0000 0.0000 (multiplicity 3)  6 Ba 4.79, 6 Sr 4.90
Sb 0.0000 0.0000 0.5000 (multiplicity 3)  6 Ba 3.41

Values from the calculation:
E_form (uncorrected) = -0.495 eV/atom
VASP energy = -2.9079 eV per atom


# 7
First-principles (PBE) data for MoPb2Cl after structural relaxation, as listed in Alexandria via LeMat-Bulk.

Unit cell a=3.4020 b=4.8483 c=6.4189 alpha=90.00 beta=90.00 gamma=90.00
Last column: nearest neighbours and their distance in Å.
Space group Pmmm (No. 47)
Asymmetric unit:
Mo 0.0000 0.0000 0.0000 (multiplicity 1)  4 Pb 2.96
Pb 0.0000 0.5000 0.5000 (multiplicity 1)  4 Cl 2.96
Pb 0.5000 0.5000 0.0000 (multiplicity 1)  4 Mo 2.96
Cl 0.5000 0.0000 0.5000 (multiplicity 1)  4 Pb 2.96

Values from the calculation:
Polymorph energy (0 for the lowest one) = 330.3 meV per atom
E_form (uncorrected) = 0.558 eV/atom
VASP energy = -4.4653 eV per atom